The following is a PBE-GGA calculation of a relaxed Mg4BiPb crystal, from Alexandria.

Results
Formation energy   -0.060 eV/atom

Cell: 7.0439 7.2196 8.3777 Å, 113.38 112.67 94.65°
Closest atoms and distances in Å follow each position.
Element x y z (fractional)
1 Mg 0.9924 0.2297 0.9856  2 Pb 2.98-3.03, 2 Bi 3.06-3.13, 1 Mg 3.23
2 Mg 0.4932 0.7558 0.9856  2 Pb 2.98-3.03, 2 Bi 3.06-3.13, 1 Mg 3.23
3 Mg 0.2497 0.5074 0.5139  2 Pb 2.98-3.03, 2 Bi 3.06-3.12, 1 Mg 3.23
4 Mg 0.7503 0.4926 0.4861  2 Pb 2.98-3.03, 2 Bi 3.06-3.12, 1 Mg 3.23
5 Mg 0.2357 0.9935 0.4861  2 Pb 2.98-3.03, 2 Bi 3.06-3.12, 1 Mg 3.23
6 Mg 0.5068 0.2442 0.0144  2 Pb 2.98-3.03, 2 Bi 3.06-3.13, 1 Mg 3.23
7 Mg 0.7643 0.0065 0.5139  2 Pb 2.98-3.03, 2 Bi 3.06-3.12, 1 Mg 3.23
8 Mg 0.0076 0.7703 0.0144  2 Pb 2.98-3.03, 2 Bi 3.06-3.13, 1 Mg 3.23
9 Bi 0.3735 0.6235 0.2470  8 Mg 3.06-3.13
10 Bi 0.6265 0.3765 0.7530  8 Mg 3.06-3.13
11 Pb 0.1234 0.8734 0.7468  8 Mg 2.98-3.03
12 Pb 0.8766 0.1266 0.2532  8 Mg 2.98-3.03



The following is a PBE-GGA calculation of a relaxed LaNi2As2 crystal, from Alexandria.

Results
Formation energy   -0.723 eV/atom

Cell: 4.3840 4.3840 5.5763 Å, 66.85 66.85 90.00°
Closest atoms and distances in Å follow each position.
Element x y z (fractional)
1 Ni 0.3612 0.3612 0.2776  4 As 2.42, 1 Ni 2.57
2 Ni 0.6388 0.6388 0.7224  4 As 2.42, 1 Ni 2.57
3 As 0.7500 0.2500 0.5000  4 Ni 2.42
4 As 0.2500 0.7500 0.5000  4 Ni 2.42
5 La 0.0000 0.0000 0.0000  8 As 3.19, 10 Ni 3.35-3.36



The following is a PBE-GGA calculation of a relaxed BaYAg2 crystal, from Alexandria.

Results
Formation energy   -0.024 eV/atom

Cell: 6.6603 6.6603 6.6603 Å, 148.03 132.58 58.34°
Closest atoms and distances in Å follow each position.
Element x y z (fractional)
1 Ag 0.0219 0.0219 0.0000  2 Ag 2.93, 4 Ba 3.28
2 Ag 0.2188 0.7188 0.5000  2 Ag 2.93
3 Ba 0.4814 0.4814 0.0000  6 Ag 3.28-3.56, 2 Y 3.57, 2 Ba 3.67
4 Y 0.7780 0.2780 0.5000  6 Ag 3.32-3.38, 2 Ba 3.57, 2 Y 3.67



- formation energy of number 2 (LaNi2As2)?
  -0.723 eV/atom



- What is the formula in the third record?
  BaYAg2



- The lowest formation energy belongs to which entry?
  LaNi2As2



- What is the formation energy in the first record?
  -0.060 eV/atom